# 1
RbLiLa2Cl8: optimized geometry, PBE-GGA.

Geometry as POSCAR:
```
RbLiLa2Cl8
1.0
6.815 0.000 0.000
0.000 8.872 0.000
-0.824 0.000 6.790
Rb Li La Cl
1 1 2 8
direct
0.000 0.000 0.000
0.000 0.500 0.000
0.500 0.259 0.500
0.500 0.741 0.500
0.210 0.294 0.190
0.210 0.706 0.190
0.309 0.500 0.673
0.318 0.000 0.657
0.682 0.000 0.343
0.691 0.500 0.327
0.790 0.294 0.810
0.790 0.706 0.810
```

Results
density of states at the Fermi level	0.00	states/eV/f.u.
E_form (uncorrected)	-2.1805	eV/atom
total magnetic moment	0.00	μB/cell
crystal system	monoclinic

# 2
ScHPd3: optimized geometry, PBE-GGA.

Geometry as POSCAR:
```
ScHPd3
1.0
3.665 2.116 2.985
-3.665 2.116 2.985
0.000 -4.231 2.985
Sc H Pd
2 2 6
direct
0.000 0.000 0.000
0.500 0.500 0.500
0.250 0.250 0.250
0.750 0.750 0.750
0.006 0.750 0.494
0.250 0.506 0.994
0.494 0.006 0.750
0.506 0.994 0.250
0.750 0.494 0.006
0.994 0.250 0.506
```

Results
density of states at the Fermi level	2.16	states/eV/f.u.
total magnetic moment	0.00	μB/cell
relative energy among the computed polymorphs	156	meV/atom
crystal system	trigonal